A relaxed structure of SrMg2CrBi, computed with PBE.

a b c (Å): 6.1466 6.1511 6.1466
angles (deg): 90.00 90.00 90.00
Closest atoms and distances in Å follow each position.
Fractional coordinates of all 5 atoms:
Mg 0.0000 0.0000 0.5000  2 Sr 3.07
Sr 0.0000 0.0000 0.0000  4 Mg 3.07, 2 Bi 3.08
Bi 0.0000 0.5000 0.0000  2 Sr 3.08
Cr 0.5000 0.5000 0.5000  4 Bi 4.35, 8 Mg 4.35
Mg 0.5000 0.0000 0.0000  2 Sr 3.07

Summary:
- magnetization (μB/f.u.) = 4.8
- space group = P4/mmm
- formation energy from the elements (eV per atom) = 1.2232
- Fermi-level density of states (states/eV per cell) = 3.3